Record 1
## NbPO2F (GGA-PBE)

Data for a relaxed NbPO2F crystal.

Cell: 4.020 4.020 4.296 Å, 90.00 90.00 90.00°
Space group P4/mmm (No. 123)
Unique sites:
1 Nb 0.000 0.000 0.000
2 P 0.500 0.500 0.500
3 O 0.000 0.500 0.000
4 F 0.000 0.000 0.500

For the raw formation energy, the calculation gives -1.168 eV per atom.

---

Record 2
## PrAl2Tc (GGA-PBE)

Data for a relaxed PrAl2Tc crystal.

Cell: 4.3040 4.3040 16.0874 Å, 90.00 90.00 120.00°
Space group R-3m (No. 166, hexagonal axes)
Unique sites:
1 Pr 0.0000 0.0000 0.0000
2 Al 0.0000 0.0000 0.2056
3 Tc 0.0000 0.0000 0.5000

For the energy relative to the elements, the calculation gives -247 meV/atom.

---

Record 3
## KCr2Cu (GGA-PBE)

Data for a relaxed KCr2Cu crystal.

Cell: 3.1549 3.1549 29.8879 Å, 90.00 90.00 120.00°
Space group R-3m (No. 166, hexagonal axes)
Unique sites:
1 K 0.0000 0.0000 0.0000
2 Cr 0.0000 0.0000 0.2301
3 Cu 0.0000 0.0000 0.5000

For the energy relative to the elements, the calculation gives 1094 meV/atom.

---

Record 4
## Li4Pm3Si4 (GGA-PBE)

Data for a relaxed Li4Pm3Si4 crystal.

Cell: 4.383 6.714 14.554 Å, 90.00 90.00 90.00°
Space group Immm (No. 71)
Unique sites:
1 Li 0.000 0.191 0.171
2 Pm 0.000 0.000 0.369
3 Pm 0.000 0.500 0.500
4 Si 0.000 0.322 0.000
5 Si 0.000 0.500 0.287

For the raw formation energy, the calculation gives -0.550 eV per atom.

---

Record 5
## Cs3LaAg2I8 (GGA-PBE)

Data for a relaxed Cs3LaAg2I8 crystal.

Cell: 8.7100 8.7100 11.0932 Å, 90.00 90.00 120.00°
Space group P-3m1 (No. 164)
Unique sites:
1 Cs 0.0000 0.0000 0.0000
2 Cs 0.3333 0.6667 0.6201
3 La 0.0000 0.0000 0.5000
4 Ag 0.3333 0.6667 0.1924
5 I 0.1664 0.3328 0.3282
6 I 0.3333 0.6667 0.9501

For the raw formation energy, the calculation gives -1.133 eV per atom.

---

Record 6
## PaVTc2 (GGA-PBE)

Data for a relaxed PaVTc2 crystal.

Cell: 4.599 4.599 3.249 Å, 90.00 90.00 90.00°
Space group P4/mmm (No. 123)
Unique sites:
1 Pa 0.000 0.000 0.000
2 V 0.500 0.500 0.000
3 Tc 0.000 0.500 0.500

For the energy relative to the elements, the calculation gives -121 meV/atom.